<A>
A geometry-optimized ScMnSCl2 structure. Source: Alexandria, functional PBE.

Cell lengths 5.014, 5.014, 4.980 Å; angles 90.00, 90.00, 90.00 degrees
Each line ends with the local moment (μB).
Element x y z (fractional)
1 Sc 0.000 0.000 0.000  0.03
2 Mn 0.500 0.500 0.500  4.83
3 S 0.000 0.000 0.500  0.06
4 Cl 0.000 0.500 0.000  0.03
5 Cl 0.500 0.000 0.000  0.03

<B>
A geometry-optimized ScMnSCl2 structure. Source: Alexandria, functional PBE.

Cell lengths 4.736, 4.736, 4.870 Å; angles 90.00, 90.00, 90.00 degrees
Each line ends with the local moment (μB).
Element x y z (fractional)
1 Sc 0.500 0.500 0.500  -0.85
2 Cl 0.500 0.000 0.000  0.06
3 Mn 0.000 0.000 0.000  3.99
4 Cl 0.000 0.500 0.000  0.06
5 S 0.000 0.000 0.500  0.06

Winner for stability: <A>

<A>
A geometry-optimized ScMnS2Cl structure. Source: Alexandria, functional PBE.

Cell lengths 4.972, 4.972, 4.786 Å; angles 90.00, 90.00, 90.00 degrees
Each line ends with the local moment (μB).
Element x y z (fractional)
1 S 0.000 0.500 0.000  0.00
2 Mn 0.500 0.500 0.500  4.56
3 S 0.500 0.000 0.000  0.00
4 Sc 0.000 0.000 0.000  0.01
5 Cl 0.000 0.000 0.500  0.03

<B>
A geometry-optimized ScMnS2Cl structure. Source: Alexandria, functional PBE.

Cell lengths 4.676, 4.676, 4.522 Å; angles 90.00, 90.00, 90.00 degrees
Each line ends with the local moment (μB).
Element x y z (fractional)
1 Sc 0.500 0.500 0.500  -0.39
2 S 0.500 0.000 0.000  0.04
3 S 0.000 0.500 0.000  0.04
4 Mn 0.000 0.000 0.000  3.46
5 Cl 0.000 0.000 0.500  0.05

Winner for stability: <A>

<A>
A geometry-optimized MnSeS2Cl structure. Source: Alexandria, functional PBE.

Cell lengths 4.901, 4.901, 4.725 Å; angles 90.00, 90.00, 90.00 degrees
Each line ends with the local moment (μB).
Element x y z (fractional)
1 Mn 0.500 0.500 0.500  4.55
2 S 0.000 0.500 0.000  0.02
3 Cl 0.000 0.000 0.500  0.02
4 Se 0.000 0.000 0.000  -0.01
5 S 0.500 0.000 0.000  0.02

<B>
A geometry-optimized MnSeS2Cl structure. Source: Alexandria, functional PBE.

Cell lengths 4.973, 4.126, 4.973 Å; angles 90.00, 90.00, 90.00 degrees
Each line ends with the local moment (μB).
Element x y z (fractional)
1 Se 0.500 0.500 0.500  -0.07
2 S 0.000 0.000 0.500  -0.01
3 Cl 0.000 0.000 0.000  0.00
4 Mn 0.000 0.500 0.000  0.32
5 S 0.500 0.000 0.000  -0.01

<C>
A geometry-optimized MnSeS2Cl structure. Source: Alexandria, functional PBE.

Cell lengths 4.440, 4.440, 4.561 Å; angles 90.00, 90.00, 90.00 degrees
Element x y z (fractional)
1 Cl 0.000 0.000 0.500
2 Se 0.500 0.500 0.500
3 S 0.500 0.000 0.000
4 S 0.000 0.500 0.000
5 Mn 0.000 0.000 0.000

Winner for stability: <C>

<A>
A geometry-optimized MnSiS2Cl structure. Source: Alexandria, functional PBE.

Cell lengths 4.618, 4.618, 4.557 Å; angles 90.00, 90.00, 90.00 degrees
Each line ends with the local moment (μB).
Element x y z (fractional)
1 Mn 0.500 0.500 0.500  4.51
2 Si 0.000 0.000 0.000  0.00
3 Cl 0.000 0.000 0.500  0.03
4 S 0.500 0.000 0.000  0.04
5 S 0.000 0.500 0.000  0.04

<B>
A geometry-optimized MnSiS2Cl structure. Source: Alexandria, functional PBE.

Cell lengths 4.698, 4.698, 4.565 Å; angles 90.00, 90.00, 90.00 degrees
Each line ends with the local moment (μB).
Element x y z (fractional)
1 S 0.500 0.000 0.000  0.00
2 Si 0.500 0.500 0.500  0.06
3 Cl 0.000 0.000 0.500  0.04
4 Mn 0.000 0.000 0.000  3.56
5 S 0.000 0.500 0.000  0.00

Winner for stability: <A>

<A>
A geometry-optimized MnSiSCl2 structure. Source: Alexandria, functional PBE.

Cell lengths 4.742, 4.742, 4.858 Å; angles 90.00, 90.00, 90.00 degrees
Each line ends with the local moment (μB).
Element x y z (fractional)
1 Mn 0.000 0.000 0.000  4.04
2 Si 0.500 0.500 0.500  0.19
3 S 0.000 0.000 0.500  -0.02
4 Cl 0.500 0.000 0.000  0.05
5 Cl 0.000 0.500 0.000  0.05

<B>
A geometry-optimized MnSiSCl2 structure. Source: Alexandria, functional PBE.

Cell lengths 4.766, 4.766, 4.748 Å; angles 90.00, 90.00, 90.00 degrees
Each line ends with the local moment (μB).
Element x y z (fractional)
1 Mn 0.500 0.500 0.500  4.56
2 Si 0.000 0.000 0.000  -0.01
3 S 0.000 0.000 0.500  0.01
4 Cl 0.500 0.000 0.000  0.02
5 Cl 0.000 0.500 0.000  0.02

Winner for stability: <A>

<A>
A geometry-optimized MnSnSCl2 structure. Source: Alexandria, functional PBE.

Cell lengths 4.930, 4.930, 5.029 Å; angles 90.00, 90.00, 90.00 degrees
Each line ends with the local moment (μB).
Element x y z (fractional)
1 S 0.000 0.000 0.500  0.03
2 Mn 0.000 0.000 0.000  4.27
3 Cl 0.500 0.000 0.000  0.05
4 Cl 0.000 0.500 0.000  0.05
5 Sn 0.500 0.500 0.500  0.01

<B>
A geometry-optimized MnSnSCl2 structure. Source: Alexandria, functional PBE.

Cell lengths 5.315, 5.315, 5.103 Å; angles 90.00, 90.00, 90.00 degrees
Each line ends with the local moment (μB).
Element x y z (fractional)
1 Cl 0.000 0.500 0.000  0.03
2 Mn 0.500 0.500 0.500  4.89
3 Cl 0.500 0.000 0.000  0.03
4 Sn 0.000 0.000 0.000  -0.01
5 S 0.000 0.000 0.500  0.05

Winner for stability: <A>

<A>
A geometry-optimized TaMnSCl2 structure. Source: Alexandria, functional PBE.

Cell lengths 4.903, 4.903, 4.806 Å; angles 90.00, 90.00, 90.00 degrees
Each line ends with the local moment (μB).
Element x y z (fractional)
1 Cl 0.000 0.500 0.000  0.04
2 Cl 0.500 0.000 0.000  0.04
3 Ta 0.000 0.000 0.000  0.21
4 S 0.000 0.000 0.500  0.03
5 Mn 0.500 0.500 0.500  4.70

<B>
A geometry-optimized TaMnSCl2 structure. Source: Alexandria, functional PBE.

Cell lengths 4.651, 4.651, 4.985 Å; angles 90.00, 90.00, 90.00 degrees
Each line ends with the local moment (μB).
Element x y z (fractional)
1 Cl 0.000 0.500 0.000  0.07
2 Ta 0.500 0.500 0.500  2.21
3 S 0.000 0.000 0.500  -0.06
4 Mn 0.000 0.000 0.000  4.10
5 Cl 0.500 0.000 0.000  0.07

Winner for stability: <A>

<A>
A geometry-optimized MnTeSCl2 structure. Source: Alexandria, functional PBE.

Cell lengths 5.320, 5.320, 5.242 Å; angles 90.00, 90.00, 90.00 degrees
Each line ends with the local moment (μB).
Element x y z (fractional)
1 Mn 0.500 0.500 0.500  4.84
2 Cl 0.500 0.000 0.000  0.03
3 S 0.000 0.000 0.500  0.04
4 Te 0.000 0.000 0.000  -0.01
5 Cl 0.000 0.500 0.000  0.03

<B>
A geometry-optimized MnTeSCl2 structure. Source: Alexandria, functional PBE.

Cell lengths 4.607, 4.607, 4.579 Å; angles 90.00, 90.00, 90.00 degrees
Element x y z (fractional)
1 Te 0.500 0.500 0.500
2 Mn 0.000 0.000 0.000
3 Cl 0.000 0.500 0.000
4 S 0.000 0.000 0.500
5 Cl 0.500 0.000 0.000

Winner for stability: <B>

<A>
A geometry-optimized TiMnSCl2 structure. Source: Alexandria, functional PBE.

Cell lengths 4.845, 4.845, 4.810 Å; angles 90.00, 90.00, 90.00 degrees
Each line ends with the local moment (μB).
Element x y z (fractional)
1 Mn 0.500 0.500 0.500  4.74
2 Ti 0.000 0.000 0.000  0.98
3 Cl 0.500 0.000 0.000  0.02
4 Cl 0.000 0.500 0.000  0.02
5 S 0.000 0.000 0.500  -0.02

<B>
A geometry-optimized TiMnSCl2 structure. Source: Alexandria, functional PBE.

Cell lengths 4.733, 4.733, 4.947 Å; angles 90.00, 90.00, 90.00 degrees
Each line ends with the local moment (μB).
Element x y z (fractional)
1 S 0.000 0.000 0.500  -0.01
2 Mn 0.000 0.000 0.000  4.12
3 Cl 0.500 0.000 0.000  0.06
4 Ti 0.500 0.500 0.500  2.00
5 Cl 0.000 0.500 0.000  0.06

Winner for stability: <A>

<A>
A geometry-optimized TiMnS2Cl structure. Source: Alexandria, functional PBE.

Cell lengths 4.755, 4.755, 4.685 Å; angles 90.00, 90.00, 90.00 degrees
Each line ends with the local moment (μB).
Element x y z (fractional)
1 Mn 0.500 0.500 0.500  4.59
2 Ti 0.000 0.000 0.000  0.16
3 Cl 0.000 0.000 0.500  0.02
4 S 0.500 0.000 0.000  0.02
5 S 0.000 0.500 0.000  0.02

<B>
A geometry-optimized TiMnS2Cl structure. Source: Alexandria, functional PBE.

Cell lengths 4.692, 4.692, 4.492 Å; angles 90.00, 90.00, 90.00 degrees
Each line ends with the local moment (μB).
Element x y z (fractional)
1 Mn 0.000 0.000 0.000  3.52
2 Ti 0.500 0.500 0.500  -0.07
3 S 0.000 0.500 0.000  0.04
4 Cl 0.000 0.000 0.500  0.05
5 S 0.500 0.000 0.000  0.04

Winner for stability: <A>

<A>
A geometry-optimized MnTlSCl2 structure. Source: Alexandria, functional PBE.

Cell lengths 5.311, 5.311, 5.183 Å; angles 90.00, 90.00, 90.00 degrees
Each line ends with the local moment (μB).
Element x y z (fractional)
1 Mn 0.500 0.500 0.500  4.78
2 Cl 0.500 0.000 0.000  0.03
3 Tl 0.000 0.000 0.000  0.01
4 Cl 0.000 0.500 0.000  0.03
5 S 0.000 0.000 0.500  0.00

<B>
A geometry-optimized MnTlSCl2 structure. Source: Alexandria, functional PBE.

Cell lengths 5.025, 5.025, 4.655 Å; angles 90.00, 90.00, 90.00 degrees
Each line ends with the local moment (μB).
Element x y z (fractional)
1 Cl 0.500 0.000 0.000  0.01
2 Tl 0.500 0.500 0.500  0.00
3 Mn 0.000 0.000 0.000  3.80
4 S 0.000 0.000 0.500  -0.07
5 Cl 0.000 0.500 0.000  0.01

Winner for stability: <B>

<A>
A geometry-optimized MnVSCl2 structure. Source: Alexandria, functional PBE.

Cell lengths 4.782, 4.782, 4.747 Å; angles 90.00, 90.00, 90.00 degrees
Each line ends with the local moment (μB).
Element x y z (fractional)
1 S 0.000 0.000 0.500  -0.07
2 Cl 0.000 0.500 0.000  0.03
3 V 0.000 0.000 0.000  2.16
4 Mn 0.500 0.500 0.500  4.63
5 Cl 0.500 0.000 0.000  0.03

<B>
A geometry-optimized MnVSCl2 structure. Source: Alexandria, functional PBE.

Cell lengths 4.631, 4.631, 4.410 Å; angles 90.00, 90.00, 90.00 degrees
Each line ends with the local moment (μB).
Element x y z (fractional)
1 S 0.000 0.000 0.500  0.00
2 V 0.500 0.500 0.500  -0.06
3 Cl 0.000 0.500 0.000  -0.02
4 Mn 0.000 0.000 0.000  -0.04
5 Cl 0.500 0.000 0.000  -0.02

Winner for stability: <A>

<A>
A geometry-optimized MnZnS2Cl structure. Source: Alexandria, functional PBE.

Cell lengths 4.642, 4.642, 4.884 Å; angles 90.00, 90.00, 90.00 degrees
Each line ends with the local moment (μB).
Element x y z (fractional)
1 Cl 0.000 0.000 0.500  0.04
2 S 0.500 0.000 0.000  -0.04
3 S 0.000 0.500 0.000  -0.04
4 Zn 0.000 0.000 0.000  0.00
5 Mn 0.500 0.500 0.500  4.50

<B>
A geometry-optimized MnZnS2Cl structure. Source: Alexandria, functional PBE.

Cell lengths 4.376, 4.376, 4.918 Å; angles 90.00, 90.00, 90.00 degrees
Element x y z (fractional)
1 Cl 0.000 0.000 0.500
2 S 0.000 0.500 0.000
3 Zn 0.500 0.500 0.500
4 S 0.500 0.000 0.000
5 Mn 0.000 0.000 0.000

Winner for stability: <B>

<A>
A geometry-optimized ZrMnS2Cl structure. Source: Alexandria, functional PBE.

Cell lengths 4.637, 4.637, 4.473 Å; angles 90.00, 90.00, 90.00 degrees
Each line ends with the local moment (μB).
Element x y z (fractional)
1 S 0.500 0.000 0.000  -0.07
2 Mn 0.000 0.000 0.000  -3.31
3 Zr 0.500 0.500 0.500  0.99
4 S 0.000 0.500 0.000  -0.07
5 Cl 0.000 0.000 0.500  -0.06

<B>
A geometry-optimized ZrMnS2Cl structure. Source: Alexandria, functional PBE.

Cell lengths 5.011, 5.011, 5.012 Å; angles 90.00, 90.00, 90.00 degrees
Each line ends with the local moment (μB).
Element x y z (fractional)
1 S 0.500 0.000 0.000  0.04
2 Zr 0.000 0.000 0.000  0.05
3 S 0.000 0.500 0.000  0.04
4 Mn 0.500 0.500 0.500  4.79
5 Cl 0.000 0.000 0.500  0.02

Winner for stability: <B>